Record 1
A plane-wave DFT calculation with GGA-PBE was carried out for a relaxed structure of Tl2H5Cl4.

Calculated values
Its spin magnetization is 0.00 Bohr magnetons per cell. The value obtained for the volume is 256 Å³/cell. The crystal system is triclinic. The mass density is 3.60 g/cm3. For the uncorrected energy, the calculation gives -2.95 eV/atom.

Cell: 10.706 3.920 20.967 Å, 26.58 40.61 47.56°
Atoms (fractional coordinates):
Tl  0.379  0.655  0.651
Tl  0.727  0.364  0.262
H  0.565  0.419  0.414
H  0.333  0.968  0.707
H  0.005  0.568  0.494
H  0.184  0.225  0.224
H  0.811  0.939  0.769
Cl  0.162  0.744  0.100
Cl  0.852  0.451  0.881
Cl  0.776  0.728  0.578
Cl  0.204  0.440  0.420

Record 2
A plane-wave DFT calculation with GGA-PBE was carried out for a relaxed structure of Tl4H3Cl4.

Calculated values
Its spin magnetization is 0.00 Bohr magnetons per cell. The value obtained for the volume is 280 Å³/cell. The crystal system is orthorhombic. The mass density is 5.71 g/cm3. For the uncorrected energy, the calculation gives -2.84 eV/atom.

Cell: 6.269 6.269 12.087 Å, 90.00 90.00 143.87°
Atoms (fractional coordinates):
Tl  0.266  0.734  0.753
Tl  0.266  0.734  0.247
Tl  0.995  0.005  0.500
Tl  0.017  0.983  0.000
H  0.769  0.231  0.249
H  0.769  0.231  0.751
H  0.514  0.486  0.000
Cl  0.298  0.702  0.500
Cl  0.261  0.739  0.000
Cl  0.024  0.976  0.754
Cl  0.024  0.976  0.246